Record 1
# TlGaH2Br PBEsol optimized geometry
data_TlGaH2Br
_cell_length_a 4.1984
_cell_length_b 4.1984
_cell_length_c 5.5704
_cell_angle_alpha 90.00
_cell_angle_beta 90.00
_cell_angle_gamma 90.00
_space_group_name_H-M_alt 'P 4/m m m'
_space_group_IT_number 123
_space_group_name_Hall '-P 4 2'
loop_
_atom_site_label
_atom_site_type_symbol
_atom_site_fract_x
_atom_site_fract_y
_atom_site_fract_z
Tl1 Tl 0.0000 0.0000 0.0000
Ga1 Ga 0.5000 0.5000 0.5000
H1 H 0.0000 0.5000 0.5000
Br1 Br 0.5000 0.5000 0.0000
# Energy in eV for the cell shown: -13.86

=====

Record 2
# Rb2HfGaBr PBEsol optimized geometry
data_Rb2HfGaBr
_cell_length_a 6.3197
_cell_length_b 6.3197
_cell_length_c 5.1328
_cell_angle_alpha 90.00
_cell_angle_beta 90.00
_cell_angle_gamma 90.00
_space_group_name_H-M_alt 'P 4/m m m'
_space_group_IT_number 123
_space_group_name_Hall '-P 4 2'
loop_
_atom_site_label
_atom_site_type_symbol
_atom_site_fract_x
_atom_site_fract_y
_atom_site_fract_z
Rb1 Rb 0.0000 0.5000 0.0000
Hf1 Hf 0.0000 0.0000 0.5000
Ga1 Ga 0.5000 0.5000 0.5000
Br1 Br 0.0000 0.0000 0.0000
# Raw formation energy in eV/atom: 0.503

=====

Record 3
# GaHg2Br PBEsol optimized geometry
data_GaHg2Br
_cell_length_a 7.3984
_cell_length_b 7.3984
_cell_length_c 7.3984
_cell_angle_alpha 90.00
_cell_angle_beta 90.00
_cell_angle_gamma 90.00
_space_group_name_H-M_alt 'F m -3 m'
_space_group_IT_number 225
_space_group_name_Hall '-F 4 2 3'
loop_
_atom_site_label
_atom_site_type_symbol
_atom_site_fract_x
_atom_site_fract_y
_atom_site_fract_z
Ga1 Ga 0.0000 0.0000 0.0000
Hg1 Hg 0.2500 0.2500 0.2500
Br1 Br 0.0000 0.0000 0.5000
# Raw formation energy in eV/atom: -0.020

=====

Record 4
# GaIBr PBEsol optimized geometry
data_GaIBr
_cell_length_a 5.2283
_cell_length_b 6.5575
_cell_length_c 6.8113
_cell_angle_alpha 82.35
_cell_angle_beta 81.41
_cell_angle_gamma 81.19
_space_group_name_H-M_alt 'P 1'
_space_group_IT_number 1
_space_group_name_Hall 'P 1'
loop_
_atom_site_label
_atom_site_type_symbol
_atom_site_fract_x
_atom_site_fract_y
_atom_site_fract_z
Ga1 Ga 0.0000 0.0000 0.0000
Ga2 Ga 0.3242 0.1496 0.1345
I1 I 0.1309 0.7390 0.7517
I2 I 0.6629 0.8500 0.2976
Br1 Br 0.2063 0.3945 0.3586
Br2 Br 0.6646 0.2764 0.8681
# Raw formation energy in eV/atom: -0.556

=====

Record 5
# GaI3Br PBEsol optimized geometry
data_GaI3Br
_cell_length_a 5.8392
_cell_length_b 5.8392
_cell_length_c 5.8392
_cell_angle_alpha 90.00
_cell_angle_beta 90.00
_cell_angle_gamma 90.00
_space_group_name_H-M_alt 'P m -3 m'
_space_group_IT_number 221
_space_group_name_Hall '-P 4 2 3'
loop_
_atom_site_label
_atom_site_type_symbol
_atom_site_fract_x
_atom_site_fract_y
_atom_site_fract_z
Ga1 Ga 0.0000 0.0000 0.0000
I1 I 0.0000 0.5000 0.5000
Br1 Br 0.5000 0.5000 0.5000
# Raw formation energy in eV/atom: 0.211

=====

Record 6
# GaI2BrN PBEsol optimized geometry
data_GaI2BrN
_cell_length_a 6.3247
_cell_length_b 6.3247
_cell_length_c 3.6795
_cell_angle_alpha 90.00
_cell_angle_beta 90.00
_cell_angle_gamma 90.00
_space_group_name_H-M_alt 'P 4/m m m'
_space_group_IT_number 123
_space_group_name_Hall '-P 4 2'
loop_
_atom_site_label
_atom_site_type_symbol
_atom_site_fract_x
_atom_site_fract_y
_atom_site_fract_z
Ga1 Ga 0.0000 0.0000 0.0000
I1 I 0.0000 0.5000 0.5000
Br1 Br 0.5000 0.5000 0.5000
N1 N 0.5000 0.5000 0.0000
# Raw formation energy in eV/atom: 0.930